Density functional theory data (PBE-GGA) for crystalline CdHg at its relaxed geometry.

Cell lengths 6.9580, 6.9580, 6.9580 Å; angles 96.67, 96.67, 140.16 degrees
Closest atoms and distances in Å follow each position.
Fractional coordinates of all 8 atoms:
Cd (0.1629, 0.1629, 0.3258)  4 Cd 3.01-3.29, 6 Hg 3.10-3.13
Cd (0.1629, 0.8371, 0.0000)  4 Cd 3.01-3.29, 6 Hg 3.10-3.13
Cd (0.8371, 0.1629, 0.0000)  4 Cd 3.01-3.29, 6 Hg 3.10-3.13
Cd (0.8371, 0.8371, 0.6742)  4 Cd 3.01-3.29, 6 Hg 3.10-3.13
Hg (0.1954, 0.5000, 0.6954)  6 Cd 3.10-3.13
Hg (0.5000, 0.1954, 0.6954)  6 Cd 3.10-3.13
Hg (0.5000, 0.8046, 0.3046)  6 Cd 3.10-3.13
Hg (0.8046, 0.5000, 0.3046)  6 Cd 3.10-3.13

Properties
**Formation energy**: 34 meV/atom
**Space-group type**: I4/mmm, No. 139

=====

Density functional theory data (PBE-GGA) for crystalline GdSc2Ag at its relaxed geometry.

Cell lengths 3.4390, 3.4390, 8.2469 Å; angles 90.00, 90.00, 90.00 degrees
Closest atoms and distances in Å follow each position.
Fractional coordinates of all 4 atoms:
Gd (0.0000, 0.0000, 0.0000)  8 Sc 3.43, 4 Gd 3.44
Sc (0.5000, 0.5000, 0.2940)  4 Ag 2.97
Sc (0.5000, 0.5000, 0.7060)  4 Ag 2.97
Ag (0.0000, 0.0000, 0.5000)  8 Sc 2.97

Properties
**Relative energy among the computed polymorphs**: 0.000 eV per atom
**Formation energy**: -82 meV/atom
**Space-group type**: P4/mmm, No. 123

=====

Density functional theory data (PBE-GGA) for crystalline Tb2Pm4Sm3 at its relaxed geometry.

Cell lengths 3.6311, 3.6311, 26.9121 Å; angles 90.00, 90.00, 120.00 degrees
Closest atoms and distances in Å follow each position.
Fractional coordinates of all 9 atoms:
Tb (0.0000, 0.0000, 0.0000)  3 Pm 3.57, 3 Sm 3.62, 6 Tb 3.63
Tb (0.0000, 0.0000, 0.2142)  1 Pm 3.43, 3 Sm 3.51, 6 Tb 3.63
Pm (0.0000, 0.0000, 0.3416)  1 Tb 3.43, 3 Sm 3.56, 6 Pm 3.63
Pm (0.0000, 0.0000, 0.5608)  9 Pm 3.63, 3 Sm 3.68
Pm (0.3333, 0.6667, 0.6709)  9 Pm 3.63, 3 Sm 3.64
Pm (0.3333, 0.6667, 0.8928)  3 Tb 3.57, 6 Pm 3.63, 3 Sm 3.65
Sm (0.0000, 0.0000, 0.7815)  6 Sm 3.63, 6 Pm 3.64-3.65
Sm (0.3333, 0.6667, 0.1095)  6 Tb 3.51-3.62, 6 Sm 3.63
Sm (0.3333, 0.6667, 0.4484)  6 Pm 3.56-3.68, 6 Sm 3.63

Properties
**Relative energy among the computed polymorphs**: 0.048 eV per atom
**Formation energy**: 63 meV/atom
**Space-group type**: P3m1, No. 156

=====

Density functional theory data (PBE-GGA) for crystalline Hf6BiH at its relaxed geometry.

Cell lengths 5.7415, 5.7432, 7.2600 Å; angles 66.71, 66.78, 60.03 degrees
Closest atoms and distances in Å follow each position.
Fractional coordinates of all 8 atoms:
Hf (0.0325, 0.4020, 0.3195)  1 H 2.22
Hf (0.2545, 0.9675, 0.6800)  1 H 2.22
Hf (0.4012, 0.7459, 0.3198)  1 H 2.22
Hf (0.5988, 0.2541, 0.6802)  1 H 2.22
Hf (0.7455, 0.0325, 0.3200)  1 H 2.22
Hf (0.9675, 0.5980, 0.6805)  1 H 2.22
Bi (0.5000, 0.5000, 0.0000)  6 Hf 2.91
H (0.0000, 0.0000, 0.5000)  6 Hf 2.22

Properties
**Energy**: -8.18 eV per atom
**Space-group type**: P-1, No. 2

=====

Density functional theory data (PBE-GGA) for crystalline AcLaGeCl at its relaxed geometry.

Cell lengths 5.3607, 5.3607, 5.3607 Å; angles 60.00, 60.00, 60.00 degrees
Closest atoms and distances in Å follow each position.
Fractional coordinates of all 4 atoms:
Ac (0.0000, 0.0000, 0.0000)  4 Cl 3.28, 4 Ge 3.28
La (0.5000, 0.5000, 0.5000)  4 Ge 3.28, 4 Cl 3.28
Ge (0.2500, 0.2500, 0.2500)  4 La 3.28, 4 Ac 3.28
Cl (0.7500, 0.7500, 0.7500)  4 La 3.28, 4 Ac 3.28

Properties
**Relative energy among the computed polymorphs**: 0.000 eV per atom
**ΔE_f (raw)**: -1130 meV per atom
**Space-group type**: F-43m, No. 216

=====

Density functional theory data (PBE-GGA) for crystalline ErSc2Tl3Te6 at its relaxed geometry.

Cell lengths 7.4768, 7.4768, 8.5211 Å; angles 98.42, 98.42, 119.97 degrees
Closest atoms and distances in Å follow each position.
Fractional coordinates of all 12 atoms:
Er (0.0000, 0.0000, 0.0000)  6 Te 3.06-3.07
Sc (0.3327, 0.6673, 0.0000)  6 Te 2.97-2.98
Sc (0.6673, 0.3327, 0.0000)  6 Te 2.97-2.98
Tl (0.1626, 0.8374, 0.5000)  6 Te 3.43-3.48
Tl (0.5000, 0.5000, 0.5000)  6 Te 3.42-3.48
Tl (0.8374, 0.1626, 0.5000)  6 Te 3.43-3.48
Te (0.0690, 0.4121, 0.2067)  2 Sc 2.97-2.98, 1 Er 3.07
Te (0.2757, 0.2757, 0.7966)  2 Sc 2.97, 1 Er 3.06
Te (0.4121, 0.0690, 0.2067)  2 Sc 2.97-2.98, 1 Er 3.07
Te (0.5879, 0.9310, 0.7933)  2 Sc 2.97-2.98, 1 Er 3.07
Te (0.7243, 0.7243, 0.2034)  2 Sc 2.97, 1 Er 3.06
Te (0.9310, 0.5879, 0.7933)  2 Sc 2.97-2.98, 1 Er 3.07

Properties
**ΔE_f (raw)**: -959 meV per atom
**Space-group type**: C2/m, No. 12

=====

Density functional theory data (PBE-GGA) for crystalline La2ScAs at its relaxed geometry.

Cell lengths 4.6042, 6.3093, 6.3093 Å; angles 38.66, 90.00, 90.00 degrees
Closest atoms and distances in Å follow each position.
Fractional coordinates of all 4 atoms:
La (0.0000, 0.0000, 0.0000)  4 Sc 3.28, 3 As 3.33-3.36
La (0.5000, 0.2965, 0.2965)  4 As 3.25, 3 Sc 3.25-3.46
Sc (0.5000, 0.5869, 0.5869)  2 As 2.78
As (0.0000, 0.7176, 0.7176)  2 Sc 2.78

Properties
**Formation energy**: -670 meV/atom
**Space-group type**: Amm2, No. 38

=====

Density functional theory data (PBE-GGA) for crystalline CoMoH2 at its relaxed geometry.

Cell lengths 4.9132, 4.9132, 4.9132 Å; angles 131.72, 131.72, 70.68 degrees
Closest atoms and distances in Å follow each position.
Fractional coordinates of all 8 atoms:
Co (0.0000, 0.0000, 0.0000)  4 H 1.62
Co (0.7500, 0.2500, 0.5000)  4 H 1.62
Mo (0.2500, 0.7500, 0.5000)  4 H 1.88
Mo (0.5000, 0.5000, 0.0000)  4 H 1.88
H (0.0694, 0.6250, 0.9444)  2 Co 1.62
H (0.3750, 0.3194, 0.4444)  2 Co 1.62
H (0.6806, 0.1250, 0.0556)  2 Co 1.62
H (0.8750, 0.9306, 0.5556)  2 Co 1.62

Properties
**Relative energy among the computed polymorphs**: 0.083 eV per atom
**Space-group type**: I-42d, No. 122

=====

Density functional theory data (PBE-GGA) for crystalline BaAc5Tl6 at its relaxed geometry.

Cell lengths 9.3343, 9.3343, 8.2764 Å; angles 90.00, 90.00, 143.14 degrees
Closest atoms and distances in Å follow each position.
Fractional coordinates of all 12 atoms:
Ba (0.0000, 0.0000, 0.0000)  8 Tl 3.64-3.66
Ac (0.0000, 0.0000, 0.5000)  8 Tl 3.57-3.63
Ac (0.3345, 0.6655, 0.0000)  8 Tl 3.60-3.62
Ac (0.3352, 0.6648, 0.5000)  8 Tl 3.54-3.59
Ac (0.6655, 0.3345, 0.0000)  8 Tl 3.60-3.62
Ac (0.6648, 0.3352, 0.5000)  8 Tl 3.54-3.59
Tl (0.1696, 0.8304, 0.2535)  7 Ac 3.57-3.63, 1 Ba 3.66
Tl (0.1696, 0.8304, 0.7465)  7 Ac 3.57-3.63, 1 Ba 3.66
Tl (0.5000, 0.5000, 0.2573)  6 Ac 3.54-3.62, 2 Ba 3.64
Tl (0.5000, 0.5000, 0.7427)  6 Ac 3.54-3.62, 2 Ba 3.64
Tl (0.8304, 0.1696, 0.2535)  7 Ac 3.57-3.63, 1 Ba 3.66
Tl (0.8304, 0.1696, 0.7465)  7 Ac 3.57-3.63, 1 Ba 3.66

Properties
**Formation energy**: -352 meV/atom
**Space-group type**: Cmmm, No. 65

=====

Density functional theory data (PBE-GGA) for crystalline Ta2FeHPt at its relaxed geometry.

Cell lengths 4.0615, 4.0615, 3.8524 Å; angles 90.00, 90.00, 90.00 degrees
Closest atoms and distances in Å follow each position.
Fractional coordinates of all 5 atoms:
Ta (0.0000, 0.5000, 0.0000)  2 H 2.03
Ta (0.5000, 0.0000, 0.0000)  2 H 2.03
Fe (0.0000, 0.0000, 0.5000)  2 H 1.93
H (0.0000, 0.0000, 0.0000)  2 Fe 1.93, 4 Ta 2.03
Pt (0.5000, 0.5000, 0.5000)  8 Ta 2.80, 4 Fe 2.87

Properties
**Relative energy among the computed polymorphs**: 0.000 eV per atom
**Space-group type**: P4/mmm, No. 123

=====

Density functional theory data (PBE-GGA) for crystalline TiNbSi4 at its relaxed geometry.

Cell lengths 4.7347, 4.7347, 6.4852 Å; angles 109.99, 109.99, 40.28 degrees
Closest atoms and distances in Å follow each position.
Fractional coordinates of all 6 atoms:
Ti (0.0000, 0.0000, 0.0000)  10 Si 2.69-2.74
Nb (0.0000, 0.0000, 0.5000)  10 Si 2.70-2.73
Si (0.3304, 0.3304, 0.1640)  5 Si 2.65-2.81, 3 Ti 2.69-2.74, 2 Nb 2.70
Si (0.3302, 0.3302, 0.6678)  5 Si 2.65-2.81, 2 Ti 2.69, 3 Nb 2.71-2.73
Si (0.6698, 0.6698, 0.3322)  5 Si 2.65-2.81, 2 Ti 2.69, 3 Nb 2.71-2.73
Si (0.6696, 0.6696, 0.8360)  5 Si 2.65-2.81, 3 Ti 2.69-2.74, 2 Nb 2.70

Properties
**ΔE_f (raw)**: -404 meV per atom
**Space-group type**: C2/m, No. 12

=====

Density functional theory data (PBE-GGA) for crystalline K2Ac2RuO6 at its relaxed geometry.

Cell lengths 6.1947, 6.1947, 6.5974 Å; angles 96.35, 96.35, 118.64 degrees
Closest atoms and distances in Å follow each position.
Fractional coordinates of all 11 atoms:
K (0.1472, 0.8528, 0.0000)  4 O 2.69-2.75
K (0.8528, 0.1472, 0.0000)  4 O 2.69-2.75
Ac (0.3362, 0.6638, 0.5000)  6 O 2.46-2.58
Ac (0.6638, 0.3362, 0.5000)  6 O 2.46-2.58
Ru (0.0000, 0.0000, 0.5000)  6 O 2.02-2.15
O (0.0369, 0.3353, 0.6705)  1 Ru 2.15
O (0.2205, 0.2205, 0.3199)  1 Ru 2.02
O (0.3353, 0.0369, 0.6705)  1 Ru 2.15
O (0.6647, 0.9631, 0.3295)  1 Ru 2.15
O (0.7795, 0.7795, 0.6801)  1 Ru 2.02
O (0.9631, 0.6647, 0.3295)  1 Ru 2.15

Properties
**ΔE_f (raw)**: -2047 meV per atom
**Space-group type**: C2/m, No. 12

=====

Density functional theory data (PBE-GGA) for crystalline K5PuTe5 at its relaxed geometry.

Cell lengths 8.7766, 8.7766, 9.6064 Å; angles 107.25, 107.25, 44.16 degrees
Closest atoms and distances in Å follow each position.
Fractional coordinates of all 11 atoms:
K (0.0000, 0.0000, 0.0000)  4 Te 3.34-3.48
K (0.3025, 0.3025, 0.1818)  5 Te 3.40-3.77
K (0.3207, 0.3207, 0.6470)  5 Te 3.37-3.62
K (0.6793, 0.6793, 0.3530)  5 Te 3.37-3.62
K (0.6975, 0.6975, 0.8182)  5 Te 3.40-3.77
Pu (0.0000, 0.0000, 0.5000)  6 Te 3.01-3.30
Te (0.1345, 0.1345, 0.3459)  1 Pu 3.01, 1 K 3.34
Te (0.1435, 0.1435, 0.7980)  1 Pu 3.06, 2 K 3.40
Te (0.5000, 0.5000, 0.5000)  2 Pu 3.30, 4 K 3.62-3.66
Te (0.8565, 0.8565, 0.2020)  1 Pu 3.06, 2 K 3.40
Te (0.8655, 0.8655, 0.6541)  1 Pu 3.01, 1 K 3.34

Properties
**ΔE_f (raw)**: -893 meV per atom
**Space-group type**: C2/m, No. 12

=====

Density functional theory data (PBE-GGA) for crystalline Mg4Tl2In at its relaxed geometry.

Cell lengths 8.5394, 8.5394, 8.5394 Å; angles 143.62, 143.62, 52.39 degrees
Closest atoms and distances in Å follow each position.
Fractional coordinates of all 7 atoms:
Mg (0.0000, 0.5000, 0.5000)  2 In 2.67
Mg (0.1864, 0.1864, 0.0000)  1 In 2.86, 1 Tl 2.93
Mg (0.5000, 0.0000, 0.5000)  2 In 2.67
Mg (0.8136, 0.8136, 0.0000)  1 In 2.86, 1 Tl 2.93
Tl (0.3774, 0.3774, 0.0000)  5 Mg 2.93-3.26
Tl (0.6226, 0.6226, 0.0000)  5 Mg 2.93-3.26
In (0.0000, 0.0000, 0.0000)  6 Mg 2.67-2.86

Properties
**Relative energy among the computed polymorphs**: 0.259 eV per atom
**Formation energy**: 258 meV/atom
**Space-group type**: I4/mmm, No. 139

=====

Density functional theory data (PBE-GGA) for crystalline SrPN2Cl at its relaxed geometry.

Cell lengths 4.3224, 4.3224, 4.4848 Å; angles 90.00, 90.00, 90.00 degrees
Closest atoms and distances in Å follow each position.
Fractional coordinates of all 5 atoms:
Sr (0.0000, 0.0000, 0.0000)  4 P 3.06, 8 N 3.11
P (0.5000, 0.5000, 0.0000)  2 Cl 2.24
N (0.0000, 0.5000, 0.5000)  2 Cl 2.16
N (0.5000, 0.0000, 0.5000)  2 Cl 2.16
Cl (0.5000, 0.5000, 0.5000)  4 N 2.16, 2 P 2.24

Properties
**ΔE_f (raw)**: 1425 meV per atom
**Space-group type**: P4/mmm, No. 123

=====

Density functional theory data (PBE-GGA) for crystalline Pr8Ir3Cl4O at its relaxed geometry.

Cell lengths 8.1500, 8.1500, 8.8974 Å; angles 117.37, 117.37, 59.90 degrees
Closest atoms and distances in Å follow each position.
Fractional coordinates of all 16 atoms:
Pr (0.2266, 0.7465, 0.6992)  1 O 2.71, 2 Ir 2.83
Pr (0.2292, 0.2292, 0.7015)  1 O 2.74, 2 Ir 2.83
Pr (0.2535, 0.7734, 0.3008)  1 O 2.71, 2 Ir 2.83
Pr (0.2642, 0.2642, 0.2930)  3 Ir 2.82
Pr (0.7358, 0.7358, 0.7070)  3 Ir 2.82
Pr (0.7465, 0.2266, 0.6992)  1 O 2.71, 2 Ir 2.83
Pr (0.7708, 0.7708, 0.2985)  1 O 2.74, 2 Ir 2.83
Pr (0.7734, 0.2535, 0.3008)  1 O 2.71, 2 Ir 2.83
Ir (0.0000, 0.5000, 0.5000)  6 Pr 2.82-2.83
Ir (0.5000, 0.0000, 0.5000)  6 Pr 2.82-2.83
Ir (0.5000, 0.5000, 0.5000)  6 Pr 2.82-2.83
Cl (0.0000, 0.0000, 0.0000)  6 Pr 3.22-3.24
Cl (0.0000, 0.5000, 0.0000)  6 Pr 3.23
Cl (0.5000, 0.0000, 0.0000)  6 Pr 3.23
Cl (0.5000, 0.5000, 0.0000)  6 Pr 3.30-3.34
O (0.0000, 0.0000, 0.5000)  6 Pr 2.71-2.74

Properties
**ΔE_f (raw)**: -1341 meV per atom
**Space-group type**: C2/m, No. 12

=====

Density functional theory data (PBE-GGA) for crystalline ZnIn3W at its relaxed geometry.

Cell lengths 5.0801, 5.0801, 5.0801 Å; angles 90.00, 90.00, 90.00 degrees
Closest atoms and distances in Å follow each position.
Fractional coordinates of all 5 atoms:
Zn (0.0000, 0.0000, 0.0000)  6 In 2.54
In (0.0000, 0.0000, 0.5000)  2 Zn 2.54
In (0.0000, 0.5000, 0.0000)  2 Zn 2.54
In (0.5000, 0.0000, 0.0000)  2 Zn 2.54
W (0.5000, 0.5000, 0.5000)  12 In 3.59

Properties
**Relative energy among the computed polymorphs**: 0.478 eV per atom
**Formation energy**: 1306 meV/atom
**Space-group type**: Pm-3m, No. 221

=====

Density functional theory data (PBE-GGA) for crystalline Th2CuAs4 at its relaxed geometry.

Cell lengths 4.0822, 4.0822, 9.4291 Å; angles 90.00, 90.00, 90.00 degrees
Closest atoms and distances in Å follow each position.
Fractional coordinates of all 7 atoms:
Th (0.0000, 0.5000, 0.2485)  8 As 3.04-3.13, 2 Cu 3.11
Th (0.5000, 0.0000, 0.7515)  8 As 3.04-3.13, 2 Cu 3.11
Cu (0.5000, 0.5000, 0.0000)  4 As 2.47
As (0.0000, 0.0000, 0.5000)  4 As 2.89, 4 Th 3.13
As (0.0000, 0.5000, 0.8524)  2 Cu 2.47
As (0.5000, 0.0000, 0.1476)  2 Cu 2.47
As (0.5000, 0.5000, 0.5000)  4 As 2.89, 4 Th 3.13

Properties
**Formation energy**: -939 meV/atom
**Space-group type**: P-4m2, No. 115

=====

Density functional theory data (PBE-GGA) for crystalline NaSb2TePt at its relaxed geometry.

Cell lengths 5.2453, 5.2453, 5.2349 Å; angles 90.00, 90.00, 90.00 degrees
Closest atoms and distances in Å follow each position.
Fractional coordinates of all 5 atoms:
Na (0.0000, 0.0000, 0.0000)  2 Te 2.62, 4 Sb 2.62
Sb (0.0000, 0.5000, 0.0000)  2 Na 2.62
Sb (0.5000, 0.0000, 0.0000)  2 Na 2.62
Te (0.0000, 0.0000, 0.5000)  2 Na 2.62
Pt (0.5000, 0.5000, 0.5000)  8 Sb 3.71, 4 Te 3.71

Properties
**Relative energy among the computed polymorphs**: 1.056 eV per atom
**ΔE_f (raw)**: 1107 meV per atom
**Space-group type**: P4/mmm, No. 123

=====

Density functional theory data (PBE-GGA) for crystalline Nd5Ho2Mg at its relaxed geometry.

Cell lengths 7.1448, 7.1448, 7.1448 Å; angles 119.41, 119.41, 91.02 degrees
Closest atoms and distances in Å follow each position.
Fractional coordinates of all 8 atoms:
Nd (0.0000, 0.0000, 0.0000)  8 Nd 3.57, 4 Ho 3.60
Nd (0.0000, 0.0000, 0.5000)  4 Ho 3.57, 6 Nd 3.57-3.60, 2 Mg 3.57
Nd (0.0000, 0.5000, 0.0000)  4 Ho 3.57, 2 Mg 3.57, 6 Nd 3.57-3.60
Nd (0.5000, 0.0000, 0.0000)  4 Ho 3.57, 2 Mg 3.57, 6 Nd 3.57-3.60
Nd (0.5000, 0.5000, 0.5000)  4 Ho 3.57, 2 Mg 3.57, 6 Nd 3.57-3.60
Ho (0.0000, 0.5000, 0.5000)  10 Nd 3.57-3.60, 2 Mg 3.60
Ho (0.5000, 0.0000, 0.5000)  10 Nd 3.57-3.60, 2 Mg 3.60
Mg (0.5000, 0.5000, 0.0000)  8 Nd 3.57, 4 Ho 3.60

Properties
**Relative energy among the computed polymorphs**: 0.007 eV per atom
**Formation energy**: 8 meV/atom
**Space-group type**: I4/mmm, No. 139

=====

| no. | magnetic moment (μB per formula unit) |
| --- | --- |
| 1 | 0.000 |
| 2 | 8.031 |
| 3 | 0.000 |
| 4 | 0.000 |
| 5 | 0.000 |
| 6 | 0.011 |
| 7 | 0.003 |
| 8 | 0.000 |
| 9 | 0.000 |
| 10 | 0.000 |
| 11 | 0.000 |
| 12 | 2.000 |
| 13 | 2.938 |
| 14 | 0.000 |
| 15 | 1.530 |
| 16 | 0.001 |
| 17 | 3.769 |
| 18 | 0.000 |
| 19 | 0.000 |
| 20 | 0.000 |